## Cs3NaFe2F9 (PBE+U)

Data for a relaxed Cs3NaFe2F9 crystal.

a b c (Å): 6.2070 6.2070 7.5877
angles (deg): 90.00 90.00 120.00
With the nearest neighbours (Å) after each atom.
Sites, in units of the cell vectors:
Cs: 0.0000 0.0000 0.0000  12 F 3.03-3.10
Cs: 0.3333 0.6667 0.6552  12 F 3.12-3.17
Cs: 0.6667 0.3333 0.3448  12 F 3.12-3.17
Na: 0.0000 0.0000 0.5000  6 F 2.43
Fe: 0.3333 0.6667 0.1590  6 F 1.99-2.16
Fe: 0.6667 0.3333 0.8410  6 F 1.99-2.16
F: 0.0000 0.5000 0.0000  2 Fe 2.16
F: 0.1799 0.3598 0.3068  1 Fe 1.99
F: 0.1799 0.8201 0.3068  1 Fe 1.99
F: 0.3598 0.1799 0.6932  1 Fe 1.99
F: 0.5000 0.0000 0.0000  2 Fe 2.16
F: 0.5000 0.5000 0.0000  2 Fe 2.16
F: 0.6402 0.8201 0.3068  1 Fe 1.99
F: 0.8201 0.1799 0.6932  1 Fe 1.99
F: 0.8201 0.6402 0.6932  1 Fe 1.99

Summary:
Crystal system ... trigonal
Energy ... -0.1755 Ha/atom
Symmetry ... P-3m1